InCS2: relaxed, GGA-PBEsol.

- Calculated total energy: -74.020 eV for the cell shown
- Uncorrected formation energy: 0.72 eV/atom
- Size of the total moment: 0.00 μB per atom

Cell: 6.1960 6.1960 7.6144 Å, 90.00 90.00 90.00°
Space group I-42d (No. 122)
Asymmetric unit:
In (0.0000, 0.0000, 0.0000) (multiplicity 4)
C (0.0000, 0.0000, 0.5000) (multiplicity 4)
S (0.1012, 0.2500, 0.6250) (multiplicity 8)

ZrTeMo: relaxed, GGA-PBEsol.

- Calculated total energy: -48.999 eV for the cell shown
- Uncorrected formation energy: -0.04 eV/atom
- Size of the total moment: 0.00 μB per atom

Cell: 3.3481 3.3481 10.4726 Å, 90.00 90.00 90.00°
Space group I4mm (No. 107)
Asymmetric unit:
Zr (0.0000, 0.0000, 0.0000) (multiplicity 2)
Te (0.0000, 0.0000, 0.3007) (multiplicity 2)
Mo (0.0000, 0.0000, 0.6688) (multiplicity 2)

NpF4: relaxed, GGA-PBEsol.

- Calculated total energy: -461.333 eV for the cell shown
- Uncorrected formation energy: -3.38 eV/atom
- Size of the total moment: 0.60 μB per atom

Cell: 12.5747 10.6902 8.2434 Å, 90.00 126.53 90.00°
Space group C2/c (No. 15)
Asymmetric unit:
Np (0.0000, 0.2142, 0.2500) (multiplicity 4)
Np (0.2054, 0.4281, 0.8317) (multiplicity 8)
F (0.0000, 0.3983, 0.7500) (multiplicity 4)
F (0.1081, 0.2944, 0.5720) (multiplicity 8)
F (0.1202, 0.0554, 0.4560) (multiplicity 8)
F (0.1199, 0.3784, 0.2847) (multiplicity 8)
F (0.1219, 0.1517, 0.1475) (multiplicity 8)
F (0.2123, 0.4697, 0.1061) (multiplicity 8)
F (0.2500, 0.2500, 0.0000) (multiplicity 4)

Mn2CoRe: relaxed, GGA-PBEsol.

- Calculated total energy: -40.382 eV for the cell shown
- Size of the total moment: 0.08 μB per atom
- Formation energy: 0.05 eV per atom

Cell: 2.5617 3.5252 5.0981 Å, 90.00 90.00 90.00°
Space group Pmm2 (No. 25)
Asymmetric unit:
Mn (0.0000, 0.0000, 0.0000) (multiplicity 1)
Mn (0.5000, 0.5000, 0.2232) (multiplicity 1)
Co (0.5000, 0.5000, 0.7525) (multiplicity 1)
Re (0.0000, 0.0000, 0.4987) (multiplicity 1)

NaAgH2: relaxed, GGA-PBEsol.

- Calculated total energy: -46.210 eV for the cell shown
- Size of the total moment: 0.00 μB per atom

Cell: 5.0016 5.0016 7.9870 Å, 90.00 90.00 90.00°
Space group I-42d (No. 122)
Asymmetric unit:
Na (0.0000, 0.0000, 0.0000) (multiplicity 4)
Ag (0.0000, 0.0000, 0.5000) (multiplicity 4)
H (0.1755, 0.7500, 0.6250) (multiplicity 8)

Ta3HgRh: relaxed, GGA-PBEsol.

- Calculated total energy: -40.959 eV for the cell shown
- Size of the total moment: 0.00 μB per atom
- Formation energy: 1.08 eV per atom

Cell: 4.7452 4.7452 4.7452 Å, 90.00 90.00 90.00°
Space group Pm-3m (No. 221)
Asymmetric unit:
Ta (0.0000, 0.0000, 0.5000) (multiplicity 3)
Hg (0.5000, 0.5000, 0.5000) (multiplicity 1)
Rh (0.0000, 0.0000, 0.0000) (multiplicity 1)

AlCoPt2: relaxed, GGA-PBEsol.

- Calculated total energy: -55.519 eV for the cell shown
- Size of the total moment: 0.43 μB per atom
- Formation energy: -0.50 eV per atom

Cell: 9.0635 2.7562 4.4787 Å, 90.00 106.17 90.00°
Space group Cm (No. 8)
Asymmetric unit:
Al (0.0000, 0.0000, 0.0000) (multiplicity 2)
Co (0.2737, 0.0000, 0.6887) (multiplicity 2)
Pt (0.0243, 0.5000, 0.5189) (multiplicity 2)
Pt (0.2476, 0.5000, 0.1766) (multiplicity 2)

Sc2CrTc: relaxed, GGA-PBEsol.

- Calculated total energy: -67.340 eV for the cell shown
- Size of the total moment: 0.50 μB per atom
- Formation energy: 0.26 eV per atom

Cell: 5.6950 8.5492 2.8791 Å, 90.00 110.85 90.00°
Space group C2/m (No. 12)
Asymmetric unit:
Sc (0.2500, 0.2500, 0.0000) (multiplicity 4)
Cr (0.0000, 0.0000, 0.5000) (multiplicity 2)
Tc (0.0000, 0.5000, 0.5000) (multiplicity 2)

LaMgAg2: relaxed, GGA-PBEsol.

- Calculated total energy: -14.327 eV for the cell shown
- Size of the total moment: 0.00 μB per atom
- Formation energy: -0.16 eV per atom

Cell: 3.4348 4.7674 5.8721 Å, 90.00 107.07 90.00°
Space group Pm (No. 6)
Asymmetric unit:
La (0.0000, 0.0000, 0.0000) (multiplicity 1)
Mg (0.6990, 0.5000, 0.3990) (multiplicity 1)
Ag (0.2657, 0.0000, 0.5344) (multiplicity 1)
Ag (0.4070, 0.5000, 0.8145) (multiplicity 1)

Sr3TaCoO7: relaxed, GGA-PBEsol.

- Calculated total energy: -373.476 eV for the cell shown
- Uncorrected formation energy: -2.57 eV/atom
- Size of the total moment: 0.17 μB per atom

Cell: 5.5298 5.5300 20.5628 Å, 90.00 90.00 90.00°
Space group Amm2 (No. 38)
Asymmetric unit:
Sr (0.0000, 0.0000, 0.9998) (multiplicity 2)
Sr (0.0000, 0.0000, 0.1613) (multiplicity 2)
Sr (0.0000, 0.0000, 0.7875) (multiplicity 2)
Sr (0.5000, 0.0000, 0.2906) (multiplicity 2)
Sr (0.5000, 0.0000, 0.5000) (multiplicity 2)
Sr (0.5000, 0.0000, 0.6614) (multiplicity 2)
Ta (0.0000, 0.0000, 0.3871) (multiplicity 2)
Ta (0.5000, 0.0000, 0.8864) (multiplicity 2)
Co (0.0000, 0.0000, 0.5811) (multiplicity 2)
Co (0.5000, 0.0000, 0.0847) (multiplicity 2)
O (0.0000, 0.0000, 0.2883) (multiplicity 2)
O (0.0000, 0.0000, 0.4812) (multiplicity 2)
O (0.0000, 0.0000, 0.6742) (multiplicity 2)
O (0.2457, 0.2459, 0.5780) (multiplicity 8)
O (0.2494, 0.2501, 0.3826) (multiplicity 8)
O (0.5000, 0.0000, 0.1798) (multiplicity 2)
O (0.5000, 0.0000, 0.7872) (multiplicity 2)
O (0.5000, 0.0000, 0.9791) (multiplicity 2)

OsPbI2: relaxed, GGA-PBEsol.

- Calculated total energy: -60.418 eV for the cell shown
- Uncorrected formation energy: 1.16 eV/atom
- Size of the total moment: 0.57 μB per atom

Cell: 7.3646 7.3646 7.3646 Å, 90.00 90.00 90.00°
Space group Fm-3m (No. 225)
Asymmetric unit:
Os (0.0000, 0.0000, 0.0000) (multiplicity 4)
Pb (0.0000, 0.0000, 0.5000) (multiplicity 4)
I (0.2500, 0.2500, 0.2500) (multiplicity 8)

CuIr2: relaxed, GGA-PBEsol.

- Calculated total energy: -23.746 eV for the cell shown
- Size of the total moment: 0.00 μB per atom
- Formation energy: 0.08 eV per atom

Cell: 2.6815 2.6815 6.4331 Å, 90.00 90.00 120.00°
Space group P-3m1 (No. 164)
Asymmetric unit:
Cu (0.0000, 0.0000, 0.0000) (multiplicity 1)
Ir (0.3333, 0.6667, 0.6697) (multiplicity 2)

LiReAs2: relaxed, GGA-PBEsol.

- Calculated total energy: -49.864 eV for the cell shown
- Size of the total moment: 0.00 μB per atom
- Formation energy: 0.14 eV per atom

Cell: 5.6759 6.6706 3.1218 Å, 90.00 96.98 90.00°
Space group C2/m (No. 12)
Asymmetric unit:
Li (0.0000, 0.0000, 0.0000) (multiplicity 2)
Re (0.0000, 0.5000, 0.0000) (multiplicity 2)
As (0.2500, 0.2500, 0.5000) (multiplicity 4)